(1)
# Ac3Sn5F12

A relaxed structure of Ac3Sn5F12 (PBE, the Alexandria database).

Calculated values
Crystal system: cubic

Unit cell a=14.906 b=14.906 c=14.906 alpha=90.00 beta=90.00 gamma=90.00
Space group Ia-3d (No. 230)
Unique sites:
Ac (0.000, 0.250, 0.125) (multiplicity 24)
Sn (0.000, 0.000, 0.000) (multiplicity 16)
Sn (0.000, 0.250, 0.375) (multiplicity 24)
F (0.002, 0.083, 0.648) (multiplicity 96)

(2)
# Ac3Sn2F

A relaxed structure of Ac3Sn2F (PBE, the Alexandria database).

Calculated values
Crystal system: monoclinic

Unit cell a=14.712 b=6.726 c=9.464 alpha=90.00 beta=108.72 gamma=90.00
Space group C2/c (No. 15)
Unique sites:
Ac (0.000, 0.060, 0.250) (multiplicity 4)
Ac (0.167, 0.497, 0.585) (multiplicity 8)
Sn (0.166, 0.004, 0.082) (multiplicity 8)
F (0.000, 0.419, 0.250) (multiplicity 4)

(3)
# Ac3SnF

A relaxed structure of Ac3SnF (PBE, the Alexandria database).

Calculated values
Crystal system: cubic

Unit cell a=5.403 b=5.403 c=5.403 alpha=90.00 beta=90.00 gamma=90.00
Space group Pm-3m (No. 221)
Unique sites:
Ac (0.000, 0.000, 0.500) (multiplicity 3)
Sn (0.500, 0.500, 0.500) (multiplicity 1)
F (0.000, 0.000, 0.000) (multiplicity 1)

(4)
# Ac2SnF3

A relaxed structure of Ac2SnF3 (PBE, the Alexandria database).

Calculated values
Crystal system: monoclinic

Unit cell a=15.756 b=4.444 c=8.768 alpha=90.00 beta=115.25 gamma=90.00
Space group C2/m (No. 12)
Unique sites:
Ac (0.027, 0.000, 0.264) (multiplicity 4)
Ac (0.209, 0.500, 0.708) (multiplicity 4)
Sn (0.111, 0.500, 0.037) (multiplicity 4)
F (0.068, 0.500, 0.432) (multiplicity 4)
F (0.112, 0.000, 0.660) (multiplicity 4)
F (0.196, 0.000, 0.455) (multiplicity 4)

(5)
# AcSnF2

A relaxed structure of AcSnF2 (PBE, the Alexandria database).

Calculated values
Crystal system: trigonal

Unit cell a=3.7425 b=3.7425 c=27.3476 alpha=90.00 beta=90.00 gamma=120.00
Space group R-3m (No. 166, hexagonal axes)
Unique sites:
Ac (0.0000, 0.0000, 0.0000) (multiplicity 3)
Sn (0.0000, 0.0000, 0.5000) (multiplicity 3)
F (0.0000, 0.0000, 0.0835) (multiplicity 6)

(6)
# Ac6Sn3F

A relaxed structure of Ac6Sn3F (PBE, the Alexandria database).

Calculated values
Crystal system: orthorhombic

Unit cell a=12.955 b=15.830 c=7.761 alpha=90.00 beta=90.00 gamma=90.00
Space group Cmc2_1 (No. 36)
Unique sites:
Ac (0.000, 0.043, 0.000) (multiplicity 4)
Ac (0.000, 0.227, 0.445) (multiplicity 4)
Ac (0.164, 0.469, 0.459) (multiplicity 8)
Ac (0.168, 0.268, 0.967) (multiplicity 8)
Sn (0.000, 0.387, 0.752) (multiplicity 4)
Sn (0.166, 0.107, 0.679) (multiplicity 8)
F (0.000, 0.203, 0.112) (multiplicity 4)

(7)
# Ac7Sn4F

A relaxed structure of Ac7Sn4F (PBE, the Alexandria database).

Calculated values
Crystal system: monoclinic

Unit cell a=17.562 b=5.584 c=11.924 alpha=90.00 beta=129.13 gamma=90.00
Space group C2/m (No. 12)
Unique sites:
Ac (0.000, 0.000, 0.000) (multiplicity 2)
Ac (0.077, 0.500, 0.279) (multiplicity 4)
Ac (0.138, 0.000, 0.556) (multiplicity 4)
Ac (0.207, 0.500, 0.852) (multiplicity 4)
Sn (0.078, 0.000, 0.794) (multiplicity 4)
Sn (0.220, 0.000, 0.345) (multiplicity 4)
F (0.000, 0.500, 0.000) (multiplicity 2)

(8)
# AcSn2F11

A relaxed structure of AcSn2F11 (PBE, the Alexandria database).

Calculated values
Crystal system: orthorhombic

Unit cell a=7.848 b=10.208 c=11.468 alpha=90.00 beta=90.00 gamma=90.00
Space group Ibam (No. 72)
Unique sites:
Ac (0.000, 0.000, 0.250) (multiplicity 4)
Sn (0.133, 0.320, 0.000) (multiplicity 8)
F (0.000, 0.500, 0.000) (multiplicity 4)
F (0.099, 0.191, 0.132) (multiplicity 16)
F (0.132, 0.284, 0.500) (multiplicity 8)
F (0.244, 0.076, 0.375) (multiplicity 16)

(9)
# SrAc2F11

A relaxed structure of SrAc2F11 (PBE, the Alexandria database).

Calculated values
Crystal system: orthorhombic

Unit cell a=7.950 b=12.561 c=11.648 alpha=90.00 beta=90.00 gamma=90.00
Space group Ibam (No. 72)
Unique sites:
Sr (0.000, 0.000, 0.250) (multiplicity 4)
Ac (0.230, 0.204, 0.000) (multiplicity 8)
F (0.000, 0.500, 0.000) (multiplicity 4)
F (0.045, 0.368, 0.000) (multiplicity 8)
F (0.058, 0.185, 0.387) (multiplicity 16)
F (0.231, 0.074, 0.144) (multiplicity 16)

(10)
# SrAcF4

A relaxed structure of SrAcF4 (PBE, the Alexandria database).

Calculated values
Crystal system: tetragonal

Unit cell a=4.077 b=4.077 c=6.410 alpha=90.00 beta=90.00 gamma=90.00
Space group P4/mmm (No. 123)
Unique sites:
Sr (0.000, 0.000, 0.000) (multiplicity 1)
Ac (0.500, 0.500, 0.500) (multiplicity 1)
F (0.000, 0.500, 0.229) (multiplicity 4)

(11)
# SrAcF5

A relaxed structure of SrAcF5 (PBE, the Alexandria database).

Calculated values
Crystal system: monoclinic

Unit cell a=7.295 b=7.181 c=8.676 alpha=90.00 beta=92.50 gamma=90.00
Space group C2/c (No. 15)
Unique sites:
Sr (0.000, 0.000, 0.000) (multiplicity 4)
Ac (0.000, 0.499, 0.250) (multiplicity 4)
F (0.000, 0.153, 0.250) (multiplicity 4)
F (0.163, 0.417, 0.005) (multiplicity 8)
F (0.171, 0.206, 0.678) (multiplicity 8)

(12)
# Sr2AcF8

A relaxed structure of Sr2AcF8 (PBE, the Alexandria database).

Calculated values
Crystal system: orthorhombic

Unit cell a=4.197 b=6.212 c=12.559 alpha=90.00 beta=90.00 gamma=90.00
Space group Immm (No. 71)
Unique sites:
Sr (0.000, 0.000, 0.185) (multiplicity 4)
Ac (0.000, 0.000, 0.500) (multiplicity 2)
F (0.000, 0.172, 0.000) (multiplicity 4)
F (0.000, 0.266, 0.339) (multiplicity 8)
F (0.000, 0.500, 0.118) (multiplicity 4)

(13)
# SrAcF

A relaxed structure of SrAcF (PBE, the Alexandria database).

Calculated values
Crystal system: trigonal

Unit cell a=4.0849 b=4.0849 c=7.8128 alpha=90.00 beta=90.00 gamma=120.00
Space group P3m1 (No. 156)
Unique sites:
Sr (0.0000, 0.0000, 0.0000) (multiplicity 1)
Ac (0.3333, 0.6667, 0.5126) (multiplicity 1)
F (0.6667, 0.3333, 0.0353) (multiplicity 1)

(14)
# SrAc2F

A relaxed structure of SrAc2F (PBE, the Alexandria database).

Calculated values
Crystal system: trigonal

Unit cell a=4.0777 b=4.0777 c=31.9902 alpha=90.00 beta=90.00 gamma=120.00
Space group R-3m (No. 166, hexagonal axes)
Unique sites:
Sr (0.0000, 0.0000, 0.0000) (multiplicity 3)
Ac (0.0000, 0.0000, 0.1185) (multiplicity 6)
F (0.0000, 0.0000, 0.5000) (multiplicity 3)

(15)
# SrAcTe2F

A relaxed structure of SrAcTe2F (PBE, the Alexandria database).

Calculated values
Crystal system: tetragonal

Unit cell a=4.566 b=4.566 c=16.175 alpha=90.00 beta=90.00 gamma=90.00
Space group P4/nmm (No. 129, origin choice 2)
Unique sites:
Sr (0.250, 0.250, 0.075) (multiplicity 2)
Ac (0.250, 0.250, 0.636) (multiplicity 2)
Te (0.250, 0.250, 0.413) (multiplicity 2)
Te (0.250, 0.250, 0.826) (multiplicity 2)
F (0.250, 0.750, 0.000) (multiplicity 2)

(16)
# AcTb2F

A relaxed structure of AcTb2F (PBE, the Alexandria database).

Calculated values
Crystal system: trigonal

Unit cell a=3.7331 b=3.7331 c=29.2247 alpha=90.00 beta=90.00 gamma=120.00
Space group R-3m (No. 166, hexagonal axes)
Unique sites:
Ac (0.0000, 0.0000, 0.0000) (multiplicity 3)
Tb (0.0000, 0.0000, 0.1214) (multiplicity 6)
F (0.0000, 0.0000, 0.5000) (multiplicity 3)

(17)
# Ac3TbF

A relaxed structure of Ac3TbF (PBE, the Alexandria database).

Calculated values
Crystal system: cubic

Unit cell a=5.528 b=5.528 c=5.528 alpha=90.00 beta=90.00 gamma=90.00
Space group Pm-3m (No. 221)
Unique sites:
Ac (0.000, 0.000, 0.500) (multiplicity 3)
Tb (0.500, 0.500, 0.500) (multiplicity 1)
F (0.000, 0.000, 0.000) (multiplicity 1)

(18)
# Ac2TbF

A relaxed structure of Ac2TbF (PBE, the Alexandria database).

Calculated values
Crystal system: trigonal

Unit cell a=3.8897 b=3.8897 c=30.6446 alpha=90.00 beta=90.00 gamma=120.00
Space group R-3m (No. 166, hexagonal axes)
Unique sites:
Ac (0.0000, 0.0000, 0.1133) (multiplicity 6)
Tb (0.0000, 0.0000, 0.0000) (multiplicity 3)
F (0.0000, 0.0000, 0.5000) (multiplicity 3)

| no. | raw formation energy (meV per atom) |
| --- | --- |
| 1 | -2454.7 |
| 2 | -1220.8 |
| 3 | -1095.2 |
| 4 | -2943.9 |
| 5 | -1804.1 |
| 6 | -850.2 |
| 7 | -858.6 |
| 8 | -2931.4 |
| 9 | -3080.3 |
| 10 | -3709.5 |
| 11 | -4011.4 |
| 12 | -3637.8 |
| 13 | -1632.2 |
| 14 | -980.4 |
| 15 | -2208.3 |
| 16 | -913.7 |
| 17 | -944.4 |
| 18 | -845.1 |